Density functional theory data (PBE) for a relaxed structure of NdTm2Cu2Si2.

Lattice parameters (Å, degrees): 4.237 4.237 9.547 77.18 77.18 60.00
Atoms (fractional coordinates):
Nd1 0.000 0.000 0.000
Tm1 0.128 0.128 0.615
Tm2 0.872 0.872 0.385
Cu1 0.594 0.594 0.219
Cu2 0.406 0.406 0.781
Si1 0.742 0.742 0.775
Si2 0.258 0.258 0.225

Calculated values
Its density of states at the Fermi level is 3.6 states/eV/f.u. Its uncorrected formation energy is -479 meV per atom. The crystal system is trigonal. For the calculated total energy, the calculation gives -5.158 eV per atom.

---

Density functional theory data (PBE) for a relaxed structure of NaAcTe2.

Lattice parameters (Å, degrees): 4.614 4.614 8.509 74.27 74.27 60.00
Atoms (fractional coordinates):
Na1 0.669 0.669 0.993
Ac1 0.499 0.499 0.503
Te1 0.082 0.082 0.755
Te2 0.250 0.250 0.250

Calculated values
Its density of states at the Fermi level is 0.0 states/eV/f.u. The value obtained for the distance to the lowest polymorph of the same formula is 83 meV/atom. Its uncorrected formation energy is -1313 meV per atom. The crystal system is trigonal. For the calculated total energy, the calculation gives -4.240 eV per atom.

---

Density functional theory data (PBE) for a relaxed structure of Cs4Rb11.

Lattice parameters (Å, degrees): 9.250 17.664 17.664 90.00 90.00 90.00
Atoms (fractional coordinates):
Cs1 0.000 0.137 0.541
Cs2 0.000 0.863 0.459
Cs3 0.500 0.959 0.637
Cs4 0.500 0.041 0.363
Cs5 0.500 0.363 0.041
Cs6 0.500 0.637 0.959
Cs7 0.000 0.541 0.137
Cs8 0.000 0.459 0.863
Rb1 0.000 0.000 0.000
Rb2 0.500 0.500 0.500
Rb3 0.000 0.405 0.595
Rb4 0.000 0.595 0.405
Rb5 0.500 0.905 0.905
Rb6 0.500 0.095 0.095
Rb7 0.000 0.070 0.259
Rb8 0.000 0.930 0.741
Rb9 0.500 0.241 0.570
Rb10 0.500 0.759 0.430
Rb11 0.500 0.430 0.759
Rb12 0.500 0.570 0.241
Rb13 0.000 0.259 0.070
Rb14 0.000 0.741 0.930
Rb15 0.249 0.321 0.321
Rb16 0.249 0.679 0.679
Rb17 0.749 0.179 0.821
Rb18 0.749 0.821 0.179
Rb19 0.251 0.179 0.821
Rb20 0.251 0.821 0.179
Rb21 0.751 0.321 0.321
Rb22 0.751 0.679 0.679

Calculated values
Its density of states at the Fermi level is 14.1 states/eV/f.u. As for the formation energy: 0.0097 eV/atom. The crystal system is tetragonal. For the calculated total energy, the calculation gives -0.927 eV per atom.

---

Density functional theory data (PBE) for a relaxed structure of La4Pr5Nd3.

Lattice parameters (Å, degrees): 6.187 8.896 10.022 106.10 72.02 69.65
Atoms (fractional coordinates):
La1 0.856 0.228 0.061
La2 0.165 0.048 0.622
La3 0.835 0.952 0.378
La4 0.144 0.772 0.939
Pr1 0.626 0.948 0.801
Pr2 0.500 0.500 0.500
Pr3 0.219 0.453 0.110
Pr4 0.781 0.547 0.890
Pr5 0.374 0.052 0.199
Nd1 0.515 0.693 0.276
Nd2 0.000 0.500 0.500
Nd3 0.485 0.307 0.724

Calculated values
Its density of states at the Fermi level is 21.1 states/eV/f.u. As for the formation energy: 0.1779 eV/atom. The value obtained for the distance to the lowest polymorph of the same formula is 164 meV/atom. The crystal system is monoclinic. For the calculated total energy, the calculation gives -4.648 eV per atom.

---

Density functional theory data (PBE) for a relaxed structure of Er2Tm2Al3.

Lattice parameters (Å, degrees): 3.551 8.046 6.243 98.44 73.51 90.00
Atoms (fractional coordinates):
Er1 0.563 0.293 0.874
Er2 0.437 0.707 0.126
Tm1 0.697 0.845 0.606
Tm2 0.303 0.155 0.394
Al1 0.000 0.000 0.000
Al2 0.837 0.456 0.324
Al3 0.163 0.544 0.676

Calculated values
Its density of states at the Fermi level is 6.0 states/eV/f.u. As for the formation energy: -0.2864 eV/atom. The value obtained for the distance to the lowest polymorph of the same formula is 0 meV/atom. The crystal system is monoclinic. For the calculated total energy, the calculation gives -4.472 eV per atom.

---

Density functional theory data (PBE) for a relaxed structure of Rb2NbGeBr6.

Lattice parameters (Å, degrees): 7.822 7.822 7.820 59.99 59.99 90.00
Last column: magnetic moment on the atom in μB.
Atoms (fractional coordinates):
Nb1 0.000 0.000 0.000  2.28
Ge1 0.500 0.500 0.000  0.03
Br1 0.247 0.247 0.507  0.01
Br2 0.753 0.753 0.493  0.01
Br3 0.247 0.247 0.000  0.01
Br4 0.753 0.753 0.000  0.01
Br5 0.753 0.247 0.000  0.01
Br6 0.247 0.753 0.000  0.01
Rb1 0.750 0.250 0.500  0.00
Rb2 0.250 0.750 0.500  0.00

Calculated values
Its density of states at the Fermi level is 0.0 states/eV/f.u. Its uncorrected formation energy is -967 meV per atom. The crystal system is cubic. For the calculated total energy, the calculation gives -3.633 eV per atom.

---

Q: Which value of density of states at the Fermi level does entry 6 give?
A: 0.0 states/eV/f.u.

---

Q: Look up the density of states at the Fermi level of the sixth one.
A: 0.0 states/eV/f.u.

---

Copy entry 1 word for word.
Density functional theory data (PBE) for a relaxed structure of NdTm2Cu2Si2.

Lattice parameters (Å, degrees): 4.237 4.237 9.547 77.18 77.18 60.00
Atoms (fractional coordinates):
Nd1 0.000 0.000 0.000
Tm1 0.128 0.128 0.615
Tm2 0.872 0.872 0.385
Cu1 0.594 0.594 0.219
Cu2 0.406 0.406 0.781
Si1 0.742 0.742 0.775
Si2 0.258 0.258 0.225

Calculated values
Its density of states at the Fermi level is 3.6 states/eV/f.u. Its uncorrected formation energy is -479 meV per atom. The crystal system is trigonal. For the calculated total energy, the calculation gives -5.158 eV per atom.

---

Q: Among the records above, which one has the lowest calculated total energy?
A: NdTm2Cu2Si2